A relaxed structure of LaFePt, computed with PBE.

abc: 4.2748 4.2748 4.2213
angles: 90.00 90.00 120.00
Closest atoms and distances in Å follow each position.
Sites, in units of the cell vectors:
La 0.0000 0.0000 0.0000  6 Fe 3.25, 6 Pt 3.25
Fe 0.6667 0.3333 0.5000  3 Pt 2.47
Pt 0.3333 0.6667 0.5000  3 Fe 2.47

Calculated values
Calculated total energy = -0.2566 hartree per atom
M_tot = 2.35 Bohr magnetons per cell
Formation enthalpy at 0 K = -0.505 eV per atom
Calculated volume = 66.80 Å³/f.u.

=====

A relaxed structure of LaFePt, computed with PBE.

abc: 9.6664 4.0285 4.0285
angles: 60.07 90.00 90.00
Closest atoms and distances in Å follow each position.
Sites, in units of the cell vectors:
La 0.1982 0.0000 0.0000  3 Fe 2.96-2.97, 3 Pt 3.01
La 0.8018 0.0000 0.0000  3 Fe 2.96-2.97, 3 Pt 3.01
Fe 0.3882 0.3338 0.3338  1 Fe 2.16
Fe 0.6118 0.3338 0.3338  1 Fe 2.16
Pt 0.0000 0.6664 0.6664  6 La 3.01
Pt 0.5000 0.6674 0.6674  6 Fe 2.57

Calculated values
Calculated total energy = -0.2441 hartree per atom
M_tot = 4.92 Bohr magnetons per cell
Formation enthalpy at 0 K = -0.166 eV per atom
Calculated volume = 67.98 Å³/f.u.

=====

A relaxed structure of LaFePt, computed with PBE.

abc: 5.7912 5.7912 5.7912
angles: 145.28 145.28 49.92
Closest atoms and distances in Å follow each position.
Sites, in units of the cell vectors:
La 0.0000 0.0000 0.0000  5 Fe 3.02-3.31, 5 Pt 3.18-3.20
Fe 0.7124 0.7124 0.0000  4 Pt 2.62
Pt 0.3031 0.3031 0.0000  4 Fe 2.62

Calculated values
Calculated total energy = -0.2467 hartree per atom
M_tot = 3.07 Bohr magnetons per cell
Formation enthalpy at 0 K = -0.236 eV per atom
Calculated volume = 62.71 Å³/f.u.

=====

A relaxed structure of La2Fe3Pt12Rh, computed with PBE.

abc: 7.9773 7.9773 7.9773
angles: 61.30 61.30 61.30
Closest atoms and distances in Å follow each position.
Sites, in units of the cell vectors:
La 0.1199 0.1199 0.1199  6 Pt 2.83-2.84
La 0.8801 0.8801 0.8801  6 Pt 2.83-2.84
Fe 0.0000 0.5000 0.5000  6 Pt 2.44-2.46
Fe 0.5000 0.0000 0.5000  6 Pt 2.44-2.46
Fe 0.5000 0.5000 0.0000  6 Pt 2.44-2.46
Pt 0.1169 0.6309 0.6309  1 Fe 2.44, 1 Rh 2.54
Pt 0.1284 0.1284 0.6188  2 Fe 2.46
Pt 0.1284 0.6188 0.1284  2 Fe 2.46
Pt 0.3691 0.3691 0.8831  1 Fe 2.44, 1 Rh 2.54
Pt 0.3691 0.8831 0.3691  1 Fe 2.44, 1 Rh 2.54
Pt 0.3812 0.8716 0.8716  2 Fe 2.46
Pt 0.6188 0.1284 0.1284  2 Fe 2.46
Pt 0.6309 0.1169 0.6309  1 Fe 2.44, 1 Rh 2.54
Pt 0.6309 0.6309 0.1169  1 Fe 2.44, 1 Rh 2.54
Pt 0.8716 0.3812 0.8716  2 Fe 2.46
Pt 0.8716 0.8716 0.3812  2 Fe 2.46
Pt 0.8831 0.3691 0.3691  1 Fe 2.44, 1 Rh 2.54
Rh 0.5000 0.5000 0.5000  6 Pt 2.54

Calculated values
Calculated total energy = -0.2355 hartree per atom
M_tot = 13.22 Bohr magnetons per cell
Formation enthalpy at 0 K = -0.016 eV per atom
Calculated volume = 369.47 Å³/f.u.

=====

A relaxed structure of La2FeSiPt6, computed with PBE.

abc: 6.5634 6.5634 8.2452
angles: 127.29 127.29 49.85
Closest atoms and distances in Å follow each position.
Sites, in units of the cell vectors:
La 0.2423 0.2423 0.2021  7 Pt 3.11-3.37
La 0.7577 0.7577 0.7979  7 Pt 3.11-3.37
Fe 0.5000 0.5000 0.0000  6 Pt 2.50-2.53
Si 0.0000 0.0000 0.5000  6 Pt 2.43
Pt 0.2498 0.2498 0.6182  1 Si 2.43, 1 Fe 2.50
Pt 0.2503 0.7466 0.7405  1 Si 2.43, 1 Fe 2.53
Pt 0.2534 0.7497 0.2595  1 Si 2.43, 1 Fe 2.53
Pt 0.7466 0.2503 0.7405  1 Si 2.43, 1 Fe 2.53
Pt 0.7497 0.2534 0.2595  1 Si 2.43, 1 Fe 2.53
Pt 0.7502 0.7502 0.3818  1 Si 2.43, 1 Fe 2.50

Calculated values
Calculated total energy = -0.2505 hartree per atom
Formation energy (no corrections) = -788 kJ/mol of formula units
M_tot = 2.93 Bohr magnetons per cell
Calculated volume = 202.03 Å³/f.u.

=====

A relaxed structure of La3PuFe, computed with PBE.

abc: 5.4118 5.4118 5.4118
angles: 90.00 90.00 90.00
Closest atoms and distances in Å follow each position.
Sites, in units of the cell vectors:
La 0.0000 0.0000 0.5000  2 Fe 2.71
La 0.0000 0.5000 0.0000  2 Fe 2.71
La 0.5000 0.0000 0.0000  2 Fe 2.71
Pu 0.5000 0.5000 0.5000  12 La 3.83
Fe 0.0000 0.0000 0.0000  6 La 2.71

Calculated values
Calculated total energy = -0.2672 hartree per atom
M_tot = 7.03 Bohr magnetons per cell
Formation enthalpy at 0 K = 0.244 eV per atom
Calculated volume = 158.50 Å³/f.u.

=====

A relaxed structure of LaPuFe4, computed with PBE.

abc: 5.1709 5.1709 5.1709
angles: 60.00 60.00 60.00
Closest atoms and distances in Å follow each position.
Sites, in units of the cell vectors:
La 0.0000 0.0000 0.0000  12 Fe 3.03, 4 Pu 3.17
Pu 0.2500 0.2500 0.2500  12 Fe 3.03, 4 La 3.17
Fe 0.1293 0.6236 0.6236  6 Fe 2.56-2.62
Fe 0.6236 0.1293 0.6236  6 Fe 2.56-2.62
Fe 0.6236 0.6236 0.1293  6 Fe 2.56-2.62
Fe 0.6236 0.6236 0.6236  6 Fe 2.56-2.62

Calculated values
Calculated total energy = -0.3178 hartree per atom
M_tot = 12.32 Bohr magnetons per cell
Formation enthalpy at 0 K = 0.203 eV per atom
Calculated volume = 97.76 Å³/f.u.

=====

A relaxed structure of LaPuFe, computed with PBE.

abc: 6.2401 6.2401 6.2401
angles: 147.40 147.40 46.78
Closest atoms and distances in Å follow each position.
Sites, in units of the cell vectors:
La 0.0000 0.0000 0.0000  5 Pu 3.23-3.52, 5 Fe 3.34-3.49, 4 La 3.50
Pu 0.2821 0.2821 0.0000  4 Fe 2.67
Fe 0.6954 0.6954 0.0000  4 Pu 2.67

Calculated values
Calculated total energy = -0.3353 hartree per atom
M_tot = 3.87 Bohr magnetons per cell
Energy relative to the lowest polymorph listed for this composition = 0 meV per atom
Formation enthalpy at 0 K = 0.118 eV per atom
Calculated volume = 70.29 Å³/f.u.

=====

Question: Look up the calculated total energy of the fifth one.
Answer: -0.2505 hartree per atom